1.
{"formula": "PW", "functional": "PBE", "state": "relaxed", "mass_density_g_cm3": 11.7, "total_magnetization_mub_per_atom": 0.002, "volume_a3_per_atom": 15.3, "dft_energy_ev_per_atom": -8.78, "lattice": [[0.0000, 2.4812, 2.4812], [2.4812, 0.0000, 2.4812], [2.4812, 2.4812, 0.0000]], "species": ["P", "W"], "frac_coords": [[0.0000, 0.0000, 0.0000], [0.5000, 0.5000, 0.5000]]}

2.
{"formula": "Lu4TlSbC2", "functional": "PBE", "state": "relaxed", "mass_density_g_cm3": 10.4, "total_magnetization_mub_per_atom": 0.001, "volume_a3_per_atom": 20.9, "dft_energy_ev_per_atom": -5.95, "lattice": [[3.5518, 0.0000, 0.0000], [-1.7759, 3.0759, 0.0000], [0.0000, 0.0000, 15.3126]], "species": ["Lu", "Lu", "Lu", "Lu", "Tl", "Sb", "C", "C"], "frac_coords": [[0.0000, 0.0000, 0.1611], [0.0000, 0.0000, 0.8389], [0.6667, 0.3333, 0.3293], [0.6667, 0.3333, 0.6707], [0.0000, 0.0000, 0.5000], [0.6667, 0.3333, 0.0000], [0.3333, 0.6667, 0.2424], [0.3333, 0.6667, 0.7576]]}

3.
{"formula": "Li2ReGe", "functional": "PBE", "state": "relaxed", "mass_density_g_cm3": 8.5, "total_magnetization_mub_per_atom": 0.005, "volume_a3_per_atom": 13.4, "dft_energy_ev_per_atom": -5.04, "lattice": [[0.0000, 2.9907, 2.9907], [2.9907, 0.0000, 2.9907], [2.9907, 2.9907, 0.0000]], "species": ["Li", "Li", "Re", "Ge"], "frac_coords": [[0.0000, 0.0000, 0.0000], [0.2500, 0.2500, 0.2500], [0.7500, 0.7500, 0.7500], [0.5000, 0.5000, 0.5000]]}

4.
{"formula": "TbGa2Hg", "functional": "PBE", "state": "relaxed", "mass_density_g_cm3": 9.7, "relative_energy_mev_per_atom": 0, "total_magnetization_mub_per_atom": 0.000, "volume_a3_per_atom": 21.3, "lattice": [[4.6905, 0.0000, 0.0000], [0.0000, 3.2059, 5.6633], [0.0000, -3.2059, 5.6633]], "species": ["Tb", "Tb", "Ga", "Ga", "Ga", "Ga", "Hg", "Hg"], "frac_coords": [[0.0000, 0.0000, 0.0000], [0.5000, 0.3413, 0.3413], [0.0000, 0.5118, 0.5118], [0.5000, 0.3688, 0.8113], [0.5000, 0.8113, 0.3688], [0.5000, 0.8189, 0.8189], [0.0000, 0.5032, 0.9895], [0.0000, 0.9895, 0.5032]]}

5.
{"formula": "Tb3Si4Ir", "functional": "PBE", "state": "relaxed", "mass_density_g_cm3": 8.1, "total_magnetization_mub_per_atom": 0.001, "volume_a3_per_atom": 20.1, "dft_energy_ev_per_atom": -6.25, "lattice": [[5.6986, 0.0000, 0.0000], [0.0000, 3.8819, 0.0000], [-0.9858, 0.0000, 7.2552]], "species": ["Tb", "Tb", "Tb", "Si", "Si", "Si", "Si", "Ir"], "frac_coords": [[0.0000, 0.0000, 0.0000], [0.1869, 0.0000, 0.4739], [0.4923, 0.5000, 0.8458], [0.2974, 0.5000, 0.2015], [0.5580, 0.0000, 0.1757], [0.7007, 0.0000, 0.6115], [0.9723, 0.5000, 0.6988], [0.6798, 0.5000, 0.4029]]}

6.
{"formula": "SrPrNO", "functional": "PBE", "state": "relaxed", "mass_density_g_cm3": 5.5, "relative_energy_mev_per_atom": 620, "total_magnetization_mub_per_atom": 0.001, "volume_a3_per_atom": 19.5, "lattice": [[4.2386, 0.0000, 0.0000], [0.0000, 4.2386, 0.0000], [0.0000, 0.0000, 8.6625]], "species": ["Sr", "Sr", "Pr", "Pr", "N", "N", "O", "O"], "frac_coords": [[0.2500, 0.7500, 0.0000], [0.7500, 0.2500, 0.0000], [0.2500, 0.2500, 0.3763], [0.7500, 0.7500, 0.6237], [0.2500, 0.2500, 0.8428], [0.7500, 0.7500, 0.1572], [0.2500, 0.7500, 0.5000], [0.7500, 0.2500, 0.5000]]}